Record 1
Below is a relaxed Tb4DyY3Se8 crystal, with properties calculated at the PBE level. Values from VASP.

Structure (Quantum ESPRESSO input):
```
&SYSTEM
  ibrav = 0, nat = 16, ntyp = 4
/
ATOMIC_SPECIES
Se 78.96 Se.upf
Dy 162.50 Dy.upf
Y 88.91 Y.upf
Tb 158.93 Tb.upf
ATOMIC_POSITIONS crystal
Se 0.250 0.749 0.499
Se 0.250 0.251 0.001
Dy 0.000 0.500 0.000
Se 0.249 0.749 0.999
Y 0.500 0.500 0.500
Tb 0.000 0.000 0.500
Y 0.000 0.500 0.500
Tb 0.500 0.000 0.500
Tb 0.500 0.000 0.000
Se 0.750 0.749 0.499
Se 0.751 0.251 0.001
Se 0.250 0.251 0.501
Tb 0.000 0.000 0.000
Y 0.500 0.500 0.000
Se 0.750 0.251 0.501
Se 0.750 0.749 0.999
CELL_PARAMETERS angstrom
8.178 0.000 0.000
0.000 8.184 -0.002
-4.089 -4.085 5.786
```

## Properties
For the total energy, the calculation gives -6.1621 eV per atom. As for the density of states at the Fermi level: 10.78 states/eV/f.u. Its space-group type is R-3m, No. 166. For the uncorrected formation energy, the calculation gives -28.2 eV per formula unit.

---

Record 2
Below is a relaxed Tl2CdNiBi crystal, with properties calculated at the PBE level. Values from VASP.

Structure (Quantum ESPRESSO input):
```
&SYSTEM
  ibrav = 0, nat = 5, ntyp = 4
/
ATOMIC_SPECIES
Tl 204.38 Tl.upf
Cd 112.41 Cd.upf
Bi 208.98 Bi.upf
Ni 58.69 Ni.upf
ATOMIC_POSITIONS crystal
Tl 0.000 0.500 0.000
Tl 0.500 0.000 0.000
Cd 0.500 0.500 0.500
Bi 0.000 0.000 0.500
Ni 0.000 0.000 0.000
CELL_PARAMETERS angstrom
5.124 0.000 0.000
0.000 5.124 0.000
0.000 0.000 5.306
```

## Properties
For the total energy, the calculation gives -2.9150 eV per atom. As for the density of states at the Fermi level: 2.96 states/eV/f.u. Its space-group type is P4/mmm, No. 123.

---

Record 3
Below is a relaxed PmGdInTc crystal, with properties calculated at the PBE level. Values from VASP.

Structure (Quantum ESPRESSO input):
```
&SYSTEM
  ibrav = 0, nat = 4, ntyp = 4
/
ATOMIC_SPECIES
In 114.82 In.upf
Tc 98.00 Tc.upf
Pm 145.00 Pm.upf
Gd 157.25 Gd.upf
ATOMIC_POSITIONS crystal
In 0.000 0.000 0.000
Tc 0.500 0.500 0.500
Pm 0.250 0.250 0.250
Gd 0.750 0.750 0.750
CELL_PARAMETERS angstrom
-3.784 -3.237 -1.361
1.148 -4.593 -2.058
-0.803 -4.318 2.714
```

## Properties
For the total energy, the calculation gives -8.0540 eV per atom. As for the density of states at the Fermi level: 4.07 states/eV/f.u. Its space-group type is F-43m, No. 216.

---

Record 4
Below is a relaxed MnReAg2 crystal, with properties calculated at the PBE level. Values from VASP.

Structure (Quantum ESPRESSO input):
```
&SYSTEM
  ibrav = 0, nat = 4, ntyp = 3
/
ATOMIC_SPECIES
Ag 107.87 Ag.upf
Mn 54.94 Mn.upf
Re 186.21 Re.upf
ATOMIC_POSITIONS crystal
Ag 0.000 0.000 0.000
Mn 0.500 0.500 0.000
Re 0.750 0.250 0.500
Ag 0.250 0.750 0.500
CELL_PARAMETERS angstrom
4.710 -0.035 0.000
1.102 4.579 0.000
-2.906 -2.272 2.929
```

## Properties
For the total energy, the calculation gives -6.1630 eV per atom. The energy above the most stable polymorph in this dataset is 340.5 meV/atom. As for the density of states at the Fermi level: 2.07 states/eV/f.u. Its space-group type is I-4m2, No. 119.

---

Record 5
Below is a relaxed BeCdP2 crystal, with properties calculated at the PBE level. Values from VASP.

Structure (Quantum ESPRESSO input):
```
&SYSTEM
  ibrav = 0, nat = 4, ntyp = 3
/
ATOMIC_SPECIES
Be 9.01 Be.upf
P 30.97 P.upf
Cd 112.41 Cd.upf
ATOMIC_POSITIONS crystal
Be 0.000 0.375 0.250
P 0.500 0.375 0.434
P 0.000 0.875 0.065
Cd 0.500 0.874 0.750
CELL_PARAMETERS angstrom
-2.563 2.412 0.718
-1.142 -0.204 -3.394
-3.749 -4.438 1.526
```

## Properties
For the total energy, the calculation gives -3.7628 eV per atom. The energy above the most stable polymorph in this dataset is 34.5 meV/atom. As for the density of states at the Fermi level: 1.40 states/eV/f.u. Its space-group type is P-4m2, No. 115.

---

Record 6
Below is a relaxed SrTaBiAs2 crystal, with properties calculated at the PBE level. Values from VASP.

Structure (Quantum ESPRESSO input):
```
&SYSTEM
  ibrav = 0, nat = 5, ntyp = 4
/
ATOMIC_SPECIES
Bi 208.98 Bi.upf
As 74.92 As.upf
Sr 87.62 Sr.upf
Ta 180.95 Ta.upf
ATOMIC_POSITIONS crystal
Bi 0.500 0.500 0.500
As 0.500 0.000 0.000
As 0.000 0.000 0.500
Sr 0.000 0.500 0.000
Ta 0.000 0.000 0.000
CELL_PARAMETERS angstrom
4.989 0.000 0.000
0.000 6.222 0.000
0.000 0.000 4.989
```

## Properties
For the total energy, the calculation gives -5.0481 eV per atom. The energy above the most stable polymorph in this dataset is 0.0 meV/atom. As for the density of states at the Fermi level: 5.17 states/eV/f.u. Its space-group type is P4/mmm, No. 123.

---

Record 7
Below is a relaxed La3TbY6 crystal, with properties calculated at the PBE level. Values from VASP.

Structure (Quantum ESPRESSO input):
```
&SYSTEM
  ibrav = 0, nat = 20, ntyp = 3
/
ATOMIC_SPECIES
Y 88.91 Y.upf
Tb 158.93 Tb.upf
La 138.91 La.upf
ATOMIC_POSITIONS crystal
Y 0.371 0.530 0.948
Tb 0.130 0.193 0.807
Tb 0.630 0.807 0.193
La 0.568 0.613 0.387
Y 0.552 0.624 0.714
Y 0.371 0.052 0.470
Y 0.871 0.948 0.530
Y 0.866 0.038 0.962
La 0.962 0.060 0.291
Y 0.871 0.470 0.052
Y 0.152 0.728 0.272
Y 0.366 0.962 0.038
Y 0.552 0.286 0.376
Y 0.052 0.376 0.286
Y 0.052 0.714 0.624
La 0.068 0.387 0.613
Y 0.652 0.272 0.728
La 0.962 0.709 0.940
La 0.462 0.291 0.060
La 0.462 0.940 0.709
CELL_PARAMETERS angstrom
-6.205 -0.912 1.525
3.026 -6.365 8.508
-1.254 10.887 1.406
```

## Properties
For the total energy, the calculation gives -5.6745 eV per atom. The energy above the most stable polymorph in this dataset is 0.0 meV/atom. As for the density of states at the Fermi level: 14.05 states/eV/f.u. Its space-group type is Cmc2_1, No. 36.

---

Record 8
Below is a relaxed AlTe2Se crystal, with properties calculated at the PBE level. Values from VASP.

Structure (Quantum ESPRESSO input):
```
&SYSTEM
  ibrav = 0, nat = 4, ntyp = 3
/
ATOMIC_SPECIES
Te 127.60 Te.upf
Se 78.96 Se.upf
Al 26.98 Al.upf
ATOMIC_POSITIONS crystal
Te 0.500 0.500 0.318
Se 0.500 0.500 0.661
Te 0.000 0.000 0.002
Al 0.000 0.000 0.518
CELL_PARAMETERS angstrom
3.321 -0.032 0.000
-1.209 3.093 0.000
0.000 0.000 10.846
```

## Properties
For the total energy, the calculation gives -3.3302 eV per atom. As for the density of states at the Fermi level: 2.09 states/eV/f.u. Its space-group type is Cmm2, No. 35. For the uncorrected formation energy, the calculation gives 0.2 eV per formula unit.

---

Record 9
Below is a relaxed In2Ir crystal, with properties calculated at the PBE level. Values from VASP.

Structure (Quantum ESPRESSO input):
```
&SYSTEM
  ibrav = 0, nat = 6, ntyp = 2
/
ATOMIC_SPECIES
In 114.82 In.upf
Ir 192.22 Ir.upf
ATOMIC_POSITIONS crystal
In 0.930 0.930 0.000
In 0.820 0.320 0.500
Ir 0.500 0.500 0.000
In 0.070 0.070 0.000
Ir 0.250 0.750 0.500
In 0.680 0.180 0.500
CELL_PARAMETERS angstrom
3.363 -12.074 2.136
-0.165 -11.774 4.794
-2.907 11.266 -5.125
```

## Properties
For the total energy, the calculation gives -4.7827 eV per atom. As for the density of states at the Fermi level: 1.98 states/eV/f.u. Its space-group type is I4_1/amd, No. 141.

---

Record 10
Below is a relaxed KIn2I3 crystal, with properties calculated at the PBE level. Values from VASP.

Structure (Quantum ESPRESSO input):
```
&SYSTEM
  ibrav = 0, nat = 6, ntyp = 3
/
ATOMIC_SPECIES
I 126.90 I.upf
K 39.10 K.upf
In 114.82 In.upf
ATOMIC_POSITIONS crystal
I 0.832 0.832 0.000
K 0.000 0.000 0.000
I 0.168 0.168 0.000
In 0.334 0.334 0.000
I 0.500 0.500 0.000
In 0.666 0.666 0.000
CELL_PARAMETERS angstrom
-2.494 2.494 10.619
2.494 -2.494 10.619
2.494 2.494 -10.619
```

## Properties
For the total energy, the calculation gives -2.6683 eV per atom. The energy above the most stable polymorph in this dataset is 0.0 meV/atom. As for the density of states at the Fermi level: 0.00 states/eV/f.u. Its space-group type is I4/mmm, No. 139. For the uncorrected formation energy, the calculation gives -4.8 eV per formula unit.

---

Record 11
Below is a relaxed Tb2BeO crystal, with properties calculated at the PBE level. Values from VASP.

Structure (Quantum ESPRESSO input):
```
&SYSTEM
  ibrav = 0, nat = 4, ntyp = 3
/
ATOMIC_SPECIES
O 16.00 O.upf
Tb 158.93 Tb.upf
Be 9.01 Be.upf
ATOMIC_POSITIONS crystal
O 0.500 0.500 0.500
Tb 0.887 0.887 0.340
Tb 0.113 0.113 0.660
Be 0.000 0.000 0.000
CELL_PARAMETERS angstrom
3.465 0.000 0.000
1.733 3.001 0.000
1.733 1.000 8.337
```

## Properties
For the total energy, the calculation gives -5.1364 eV per atom. As for the density of states at the Fermi level: 3.10 states/eV/f.u. Its space-group type is R-3m, No. 166. For the uncorrected formation energy, the calculation gives -2.6 eV per formula unit.

---

Record 12
Below is a relaxed AsC2 crystal, with properties calculated at the PBE level. Values from VASP.

Structure (Quantum ESPRESSO input):
```
&SYSTEM
  ibrav = 0, nat = 6, ntyp = 2
/
ATOMIC_SPECIES
As 74.92 As.upf
C 12.01 C.upf
ATOMIC_POSITIONS crystal
As 0.500 0.000 0.561
C 0.500 0.000 0.903
C 0.000 0.500 0.097
C 0.000 0.000 0.000
As 0.000 0.500 0.439
C 0.500 0.500 0.000
CELL_PARAMETERS angstrom
3.347 0.000 0.000
0.000 3.347 0.000
0.000 0.000 5.875
```

## Properties
For the total energy, the calculation gives -5.9060 eV per atom. The energy above the most stable polymorph in this dataset is 1441.7 meV/atom. As for the density of states at the Fermi level: 0.94 states/eV/f.u. Its space-group type is P4/nmm, No. 129.

---

Record 13
Below is a relaxed PmZr2Ga6 crystal, with properties calculated at the PBE level. Values from VASP.

Structure (Quantum ESPRESSO input):
```
&SYSTEM
  ibrav = 0, nat = 9, ntyp = 3
/
ATOMIC_SPECIES
Ga 69.72 Ga.upf
Zr 91.22 Zr.upf
Pm 145.00 Pm.upf
ATOMIC_POSITIONS crystal
Ga 0.500 0.000 0.337
Ga 0.500 0.663 0.663
Ga 0.500 0.337 0.000
Ga 0.500 0.663 0.000
Zr 0.000 0.333 0.667
Ga 0.500 0.337 0.337
Zr 0.000 0.667 0.333
Pm 0.000 0.000 0.000
Ga 0.500 0.000 0.663
CELL_PARAMETERS angstrom
3.835 0.000 0.000
0.000 6.264 -3.616
0.000 0.000 7.233
```

## Properties
For the total energy, the calculation gives -4.9705 eV per atom. The energy above the most stable polymorph in this dataset is 0.0 meV/atom. As for the density of states at the Fermi level: 3.31 states/eV/f.u. Its space-group type is P6/mmm, No. 191.

---

Record 14
Below is a relaxed SmDy2Mn crystal, with properties calculated at the PBE level. Values from VASP.

Structure (Quantum ESPRESSO input):
```
&SYSTEM
  ibrav = 0, nat = 4, ntyp = 3
/
ATOMIC_SPECIES
Dy 162.50 Dy.upf
Mn 54.94 Mn.upf
Sm 150.36 Sm.upf
ATOMIC_POSITIONS crystal
Dy 0.000 0.000 0.803
Dy 0.000 0.000 0.197
Mn 0.500 0.500 0.000
Sm 0.500 0.500 0.500
CELL_PARAMETERS angstrom
-1.139 3.355 0.023
-0.188 -0.089 3.538
8.267 2.804 0.510
```

## Properties
For the total energy, the calculation gives -5.6485 eV per atom. The energy above the most stable polymorph in this dataset is 0.0 meV/atom. As for the density of states at the Fermi level: 5.98 states/eV/f.u. Its space-group type is P4/mmm, No. 123.